[1]
A plane-wave DFT calculation with PBE was carried out for an optimized crystal structure of Hf2Zr4Ge3C3. Values from VASP.

## Properties
VASP energy: -8.783 eV/atom
Crystal system: monoclinic
SG: C2/c

Structure (Quantum ESPRESSO input):
```
&SYSTEM
  ibrav = 0, nat = 24, ntyp = 4
/
ATOMIC_SPECIES
C 12.01 C.upf
Ge 72.64 Ge.upf
Hf 178.49 Hf.upf
Zr 91.22 Zr.upf
CELL_PARAMETERS angstrom
-0.7465 4.6015 -3.3703
-5.2071 1.1807 -2.1405
-0.8315 5.7264 12.9118
ATOMIC_POSITIONS crystal
C 0.5000 0.0000 0.0000
C 0.8292 0.3353 0.0000
C 0.1708 0.6647 0.0000
C 0.3353 0.8292 0.5000
C 0.0000 0.5000 0.5000
C 0.6647 0.1708 0.5000
Ge 0.5787 0.7347 0.2497
Ge 0.9032 0.0968 0.2500
Ge 0.2653 0.4213 0.2503
Ge 0.7347 0.5787 0.7497
Ge 0.0968 0.9032 0.7500
Ge 0.4213 0.2653 0.7503
Hf 0.5300 0.3618 0.0895
Hf 0.6382 0.4700 0.4105
Hf 0.3618 0.5300 0.5895
Hf 0.4700 0.6382 0.9105
Zr 0.8653 0.6978 0.0940
Zr 0.1968 0.0327 0.0940
Zr 0.9673 0.8032 0.4060
Zr 0.3022 0.1347 0.4060
Zr 0.6978 0.8653 0.5940
Zr 0.0327 0.1968 0.5940
Zr 0.8032 0.9673 0.9060
Zr 0.1347 0.3022 0.9060
```

***

[2]
A plane-wave DFT calculation with PBE was carried out for an optimized crystal structure of Hf4Zr2Ge3C3. Values from VASP.

## Properties
VASP energy: -9.024 eV/atom
Crystal system: monoclinic
SG: C2/c

Structure (Quantum ESPRESSO input):
```
&SYSTEM
  ibrav = 0, nat = 24, ntyp = 4
/
ATOMIC_SPECIES
C 12.01 C.upf
Ge 72.64 Ge.upf
Hf 178.49 Hf.upf
Zr 91.22 Zr.upf
CELL_PARAMETERS angstrom
4.9613 -2.8650 0.0000
4.9613 2.8650 0.0000
-3.2993 0.0000 13.6951
ATOMIC_POSITIONS crystal
C 0.6688 0.1623 0.0000
C 0.0000 0.5000 0.0000
C 0.3312 0.8377 0.0000
C 0.1623 0.6688 0.5000
C 0.5000 0.0000 0.5000
C 0.8377 0.3312 0.5000
Ge 0.4215 0.2354 0.2498
Ge 0.0649 0.9351 0.2500
Ge 0.7646 0.5785 0.2502
Ge 0.2354 0.4215 0.7498
Ge 0.9351 0.0649 0.7500
Ge 0.5785 0.7646 0.7502
Hf 0.0297 0.1975 0.0909
Hf 0.6968 0.8619 0.0909
Hf 0.1381 0.3032 0.4091
Hf 0.8025 0.9703 0.4091
Hf 0.1975 0.0297 0.5909
Hf 0.8619 0.6968 0.5909
Hf 0.3032 0.1381 0.9091
Hf 0.9703 0.8025 0.9091
Zr 0.3654 0.5320 0.0951
Zr 0.4680 0.6346 0.4049
Zr 0.5320 0.3654 0.5951
Zr 0.6346 0.4680 0.9049
```

***

[3]
A plane-wave DFT calculation with PBE was carried out for an optimized crystal structure of HfZrGeC. Values from VASP.

## Properties
VASP energy: -8.903 eV/atom
Crystal system: hexagonal
SG: P-6m2

Structure (Quantum ESPRESSO input):
```
&SYSTEM
  ibrav = 0, nat = 8, ntyp = 4
/
ATOMIC_SPECIES
C 12.01 C.upf
Ge 72.64 Ge.upf
Hf 178.49 Hf.upf
Zr 91.22 Zr.upf
CELL_PARAMETERS angstrom
3.3187 0.0000 0.0000
-1.6594 2.8741 0.0000
0.0000 0.0000 13.7294
ATOMIC_POSITIONS crystal
C 0.0000 0.0000 0.2451
C 0.0000 0.0000 0.7549
Ge 0.3333 0.6667 0.0000
Ge 0.6667 0.3333 0.5000
Hf 0.6667 0.3333 0.1563
Hf 0.6667 0.3333 0.8437
Zr 0.3333 0.6667 0.3411
Zr 0.3333 0.6667 0.6589
```

***

[4]
A plane-wave DFT calculation with PBE was carried out for an optimized crystal structure of Ho4GeC2S. Values from VASP.

## Properties
VASP energy: -6.562 eV/atom
Crystal system: hexagonal
SG: P-6m2

Structure (Quantum ESPRESSO input):
```
&SYSTEM
  ibrav = 0, nat = 8, ntyp = 4
/
ATOMIC_SPECIES
C 12.01 C.upf
Ge 72.64 Ge.upf
Ho 164.93 Ho.upf
S 32.06 S.upf
CELL_PARAMETERS angstrom
-2.2344 -0.2778 2.8534
-1.0454 -1.2369 -3.2541
5.3717 -12.4241 2.9968
ATOMIC_POSITIONS crystal
C 0.3333 0.6667 0.2667
C 0.3333 0.6667 0.7333
Ge 0.0000 0.0000 0.0000
Ho 0.6667 0.3333 0.1706
Ho 0.0000 0.0000 0.3639
Ho 0.0000 0.0000 0.6361
Ho 0.6667 0.3333 0.8294
S 0.6667 0.3333 0.5000
```

***

[5]
A plane-wave DFT calculation with PBE was carried out for an optimized crystal structure of TbHoGe2W2C. Values from VASP.

## Properties
VASP energy: -8.136 eV/atom
Crystal system: monoclinic
SG: Cm

Structure (Quantum ESPRESSO input):
```
&SYSTEM
  ibrav = 0, nat = 7, ntyp = 5
/
ATOMIC_SPECIES
C 12.01 C.upf
Ge 72.64 Ge.upf
Ho 164.93 Ho.upf
Tb 158.93 Tb.upf
W 183.84 W.upf
CELL_PARAMETERS angstrom
-4.1997 4.1155 0.0434
-5.3981 1.0670 2.0732
5.8127 0.4913 4.1699
ATOMIC_POSITIONS crystal
C 0.0006 0.0006 0.0021
Ge 0.8627 0.8627 0.3431
Ge 0.1370 0.1370 0.6559
Ho 0.5707 0.5707 0.2887
Tb 0.4287 0.4287 0.7095
W 0.2050 0.2050 0.0789
W 0.7953 0.7953 0.9218
```

***

[6]
A plane-wave DFT calculation with PBE was carried out for an optimized crystal structure of Ho4TlGeC2. Values from VASP.

## Properties
VASP energy: -5.908 eV/atom
Crystal system: hexagonal
SG: P-6m2

Structure (Quantum ESPRESSO input):
```
&SYSTEM
  ibrav = 0, nat = 8, ntyp = 4
/
ATOMIC_SPECIES
C 12.01 C.upf
Ge 72.64 Ge.upf
Ho 164.93 Ho.upf
Tl 204.38 Tl.upf
CELL_PARAMETERS angstrom
-1.5803 -2.2594 2.2962
-0.9533 0.0004 -3.4592
10.8892 -10.6675 -3.0021
ATOMIC_POSITIONS crystal
C 0.6667 0.3333 0.2380
C 0.6667 0.3333 0.7620
Ge 0.3333 0.6667 0.0000
Ho 0.0000 0.0000 0.1484
Ho 0.3333 0.6667 0.3212
Ho 0.3333 0.6667 0.6788
Ho 0.0000 0.0000 0.8516
Tl 0.0000 0.0000 0.5000
```

***

> What is the formula in the second record?

Hf4Zr2Ge3C3

***

> The highest VASP energy belongs to which entry?

Ho4TlGeC2

***

> Among the records above, which one has the highest VASP energy?

Ho4TlGeC2